Computed, not measured: a relaxed RbInBrCl crystal at the GGA-PBE level of DFT.

abc: 4.7821 4.7873 6.6270
angles: 90.08 90.00 90.00
With the nearest neighbours (Å) after each atom.
Element x y z (fractional)
Rb1 0.5000 0.3919 0.5929  2 Cl 3.31, 4 Br 3.38
In1 0.0000 0.8912 0.0926  2 Br 3.31-3.32, 4 Cl 3.38
Br1 0.0000 0.8918 0.5914  2 In 3.31-3.32, 4 Rb 3.38
Cl1 0.5000 0.3912 0.0928  2 Rb 3.31, 4 In 3.38

Summary:
Energy relative to the elements, uncorrected ... -1.27 eV per atom
N(E_F) ... 0.0000 states/eV per atom
Energy above the most stable polymorph in this dataset ... 0.00 eV per formula unit



Computed, not measured: a relaxed Pu2Si7Pd12 crystal at the GGA-PBE level of DFT.

abc: 3.8430 10.0227 10.0227
angles: 120.00 90.00 90.00
With the nearest neighbours (Å) after each atom.
Element x y z (fractional)
Pu1 0.5000 0.0000 0.0000  6 Si 3.08, 6 Pd 3.18
Pu2 0.0000 0.6667 0.3333  6 Si 3.09, 9 Pd 3.23-3.43
Si1 0.0000 0.3333 0.6667  3 Pd 2.37
Si2 0.0000 0.0460 0.7867  7 Pd 2.43-2.67
Si3 0.0000 0.7407 0.9540  7 Pd 2.43-2.67
Si4 0.0000 0.2133 0.2593  7 Pd 2.43-2.67
Si5 0.5000 0.6229 0.5493  7 Pd 2.47-2.54
Si6 0.5000 0.9264 0.3771  7 Pd 2.47-2.54
Si7 0.5000 0.4507 0.0736  7 Pd 2.47-2.54
Pd1 0.5000 0.8957 0.6141  4 Si 2.47-2.54
Pd2 0.5000 0.7184 0.1043  4 Si 2.47-2.54
Pd3 0.5000 0.3859 0.2816  4 Si 2.47-2.54
Pd4 0.5000 0.2371 0.8004  5 Si 2.49-2.78
Pd5 0.5000 0.5633 0.7629  5 Si 2.49-2.78
Pd6 0.5000 0.1996 0.4367  5 Si 2.49-2.78
Pd7 0.0000 0.0615 0.5506  4 Si 2.37-2.49
Pd8 0.0000 0.4890 0.9385  4 Si 2.37-2.49
Pd9 0.0000 0.4494 0.5110  4 Si 2.37-2.49
Pd10 0.0000 0.7718 0.7282  4 Si 2.43-2.54
Pd11 0.0000 0.9565 0.2282  4 Si 2.43-2.54
Pd12 0.0000 0.2718 0.0435  4 Si 2.43-2.54

Summary:
Energy relative to the elements, uncorrected ... -0.71 eV per atom
N(E_F) ... 1.1934 states/eV per atom



Computed, not measured: a relaxed KLiTl2 crystal at the GGA-PBE level of DFT.

abc: 9.6943 9.6943 9.6943
angles: 23.12 23.12 23.12
With the nearest neighbours (Å) after each atom.
Element x y z (fractional)
K1 0.2500 0.2500 0.2500  6 Tl 3.66, 6 K 3.88
Li1 0.7500 0.7500 0.7500  6 Tl 2.89
Tl1 0.0191 0.0191 0.0191  3 Li 2.89
Tl2 0.4809 0.4809 0.4809  3 Li 2.89

Summary:
Formation energy ... -26.3 meV per atom
N(E_F) ... 0.5096 states/eV per atom
Energy above the most stable polymorph in this dataset ... 0.43 eV per formula unit



Computed, not measured: a relaxed K2TcAs2 crystal at the GGA-PBE level of DFT.

abc: 6.5639 6.5639 5.6413
angles: 90.00 90.00 90.00
With the nearest neighbours (Å) after each atom.
Element x y z (fractional)
K1 0.1742 0.6742 0.5000  5 K 3.23-3.43, 6 As 3.28-3.52
K2 0.6742 0.8258 0.5000  5 K 3.23-3.43, 6 As 3.28-3.52
K3 0.8258 0.3258 0.5000  5 K 3.23-3.43, 6 As 3.28-3.52
K4 0.3258 0.1742 0.5000  5 K 3.23-3.43, 6 As 3.28-3.52
As1 0.3542 0.8542 0.0000  2 Tc 2.51, 1 As 2.71
As2 0.8542 0.6458 0.0000  2 Tc 2.51, 1 As 2.71
As3 0.6458 0.1458 0.0000  2 Tc 2.51, 1 As 2.71
As4 0.1458 0.3542 0.0000  2 Tc 2.51, 1 As 2.71
Tc1 0.0000 0.0000 0.0000  4 As 2.51
Tc2 0.5000 0.5000 0.0000  4 As 2.51

Summary:
Formation energy ... -57.2 meV per atom
N(E_F) ... 0.8082 states/eV per atom



Computed, not measured: a relaxed SbW2CBr crystal at the GGA-PBE level of DFT.

abc: 4.2474 4.9646 4.2474
angles: 90.00 90.00 90.00
With the nearest neighbours (Å) after each atom.
Element x y z (fractional)
Sb1 0.0000 0.5000 0.0000  2 C 2.48
C1 0.0000 0.0000 0.0000  4 W 2.12
Br1 0.5000 0.5000 0.5000  4 Sb 3.00, 8 W 3.27
W1 0.0000 0.0000 0.5000  2 C 2.12
W2 0.5000 0.0000 0.0000  2 C 2.12

Summary:
Energy relative to the elements, uncorrected ... 1.35 eV per atom
N(E_F) ... 0.8873 states/eV per atom



Computed, not measured: a relaxed Na2GeRh2Se6 crystal at the GGA-PBE level of DFT.

abc: 6.5144 6.5144 7.2847
angles: 98.52 98.52 120.43
With the nearest neighbours (Å) after each atom.
Element x y z (fractional)
Na1 0.8360 0.1640 0.0000  6 Se 3.01-3.07
Na2 0.1640 0.8360 0.0000  6 Se 3.01-3.07
Ge1 0.0000 0.0000 0.5000  6 Se 2.57-2.61
Rh1 0.3326 0.6674 0.5000  6 Se 2.51-2.53
Rh2 0.6674 0.3326 0.5000  6 Se 2.51-2.53
Se1 0.7236 0.7236 0.6912  2 Rh 2.53, 1 Ge 2.57
Se2 0.0629 0.4082 0.6919  2 Rh 2.51, 1 Ge 2.61
Se3 0.2764 0.2764 0.3088  2 Rh 2.53, 1 Ge 2.57
Se4 0.4082 0.0629 0.6919  2 Rh 2.51, 1 Ge 2.61
Se5 0.9371 0.5918 0.3081  2 Rh 2.51, 1 Ge 2.61
Se6 0.5918 0.9371 0.3081  2 Rh 2.51, 1 Ge 2.61

Summary:
Energy relative to the elements, uncorrected ... -0.63 eV per atom



Computed, not measured: a relaxed HfGaHg2Au crystal at the GGA-PBE level of DFT.

abc: 5.4795 5.4795 5.3422
angles: 90.00 90.00 90.00
With the nearest neighbours (Å) after each atom.
Element x y z (fractional)
Hf1 0.0000 0.0000 0.0000  2 Ga 2.67, 4 Hg 2.74
Au1 0.5000 0.5000 0.5000  8 Hg 3.83, 4 Ga 3.87
Hg1 0.0000 0.5000 0.0000  2 Hf 2.74
Hg2 0.5000 0.0000 0.0000  2 Hf 2.74
Ga1 0.0000 0.0000 0.5000  2 Hf 2.67

Summary:
Formation energy ... 844.4 meV per atom
N(E_F) ... 1.4795 states/eV per atom



Computed, not measured: a relaxed ErAl4CuPd2 crystal at the GGA-PBE level of DFT.

abc: 4.2523 4.2523 8.9513
angles: 76.26 76.26 60.00
With the nearest neighbours (Å) after each atom.
Element x y z (fractional)
Er1 0.0000 0.0000 0.0000  6 Al 3.03
Al1 0.4022 0.4022 0.7935  1 Cu 2.53, 3 Pd 2.54
Al2 0.8679 0.8679 0.3962  3 Cu 2.61, 4 Pd 2.64-2.75
Al3 0.1321 0.1321 0.6038  3 Cu 2.61, 4 Pd 2.64-2.75
Al4 0.5978 0.5978 0.2065  1 Cu 2.53, 3 Pd 2.54
Cu1 0.5000 0.5000 0.5000  8 Al 2.53-2.61
Pd1 0.7614 0.7614 0.7159  7 Al 2.54-2.75
Pd2 0.2386 0.2386 0.2841  7 Al 2.54-2.75

Summary:
Formation energy ... -604.9 meV per atom
N(E_F) ... 0.3043 states/eV per atom



Computed, not measured: a relaxed PaSnMo2 crystal at the GGA-PBE level of DFT.

abc: 4.7824 4.7824 4.7824
angles: 60.00 60.00 60.00
With the nearest neighbours (Å) after each atom.
Element x y z (fractional)
Mo1 0.2500 0.2500 0.2500  4 Sn 2.93, 4 Pa 2.93
Mo2 0.7500 0.7500 0.7500  4 Sn 2.93, 4 Pa 2.93
Pa1 0.0000 0.0000 0.0000  8 Mo 2.93
Sn1 0.5000 0.5000 0.5000  8 Mo 2.93

Summary:
Formation energy ... 69.1 meV per atom
N(E_F) ... 1.2885 states/eV per atom
Energy above the most stable polymorph in this dataset ... 0.29 eV per formula unit



Computed, not measured: a relaxed LaAl2Pt crystal at the GGA-PBE level of DFT.

abc: 4.8155 4.8155 4.8155
angles: 60.00 60.00 60.00
With the nearest neighbours (Å) after each atom.
Element x y z (fractional)
Al1 0.2500 0.2500 0.2500  4 La 2.95, 4 Pt 2.95
Al2 0.7500 0.7500 0.7500  4 La 2.95, 4 Pt 2.95
Pt1 0.5000 0.5000 0.5000  8 Al 2.95
La1 0.0000 0.0000 0.0000  8 Al 2.95

Summary:
Formation energy ... -495.3 meV per atom
N(E_F) ... 0.6553 states/eV per atom



Computed, not measured: a relaxed K3SrNp2Te6 crystal at the GGA-PBE level of DFT.

abc: 8.0150 8.0150 8.6294
angles: 98.95 98.95 120.02
With the nearest neighbours (Å) after each atom.
Element x y z (fractional)
K1 0.1605 0.8395 0.5000  6 Te 3.49-3.64
K2 0.8395 0.1605 0.5000  6 Te 3.49-3.64
K3 0.5000 0.5000 0.5000  6 Te 3.45-3.63
Sr1 0.0000 0.0000 0.0000  6 Te 3.32-3.33
Np1 0.3327 0.6673 0.0000  6 Te 3.11-3.12
Np2 0.6673 0.3327 0.0000  6 Te 3.11-3.12
Te1 0.9287 0.5742 0.7882  2 Np 3.11-3.12, 1 Sr 3.33
Te2 0.7161 0.7161 0.2106  2 Np 3.12, 1 Sr 3.32, 1 K 3.45
Te3 0.0713 0.4258 0.2118  2 Np 3.11-3.12, 1 Sr 3.33
Te4 0.5742 0.9287 0.7882  2 Np 3.11-3.12, 1 Sr 3.33
Te5 0.2839 0.2839 0.7894  2 Np 3.12, 1 Sr 3.32, 1 K 3.45
Te6 0.4258 0.0713 0.2118  2 Np 3.11-3.12, 1 Sr 3.33

Summary:
Energy relative to the elements, uncorrected ... -1.06 eV per atom
N(E_F) ... 1.5331 states/eV per atom



Computed, not measured: a relaxed Ir2Se crystal at the GGA-PBE level of DFT.

abc: 6.1209 6.1209 5.7952
angles: 72.08 72.08 27.52
With the nearest neighbours (Å) after each atom.
Element x y z (fractional)
Ir1 0.3280 0.3280 0.0962  3 Se 2.58-2.61, 6 Ir 2.72-2.85
Ir2 0.0131 0.0131 0.7588  4 Se 2.70-2.79, 7 Ir 2.71-2.91
Ir3 0.9869 0.9869 0.2412  4 Se 2.70-2.79, 7 Ir 2.71-2.91
Ir4 0.6720 0.6720 0.9038  3 Se 2.58-2.61, 6 Ir 2.72-2.85
Se1 0.6519 0.6519 0.3598  7 Ir 2.58-2.79
Se2 0.3481 0.3481 0.6402  7 Ir 2.58-2.79

Summary:
Energy relative to the elements, uncorrected ... 0.38 eV per atom
N(E_F) ... 0.6889 states/eV per atom
Energy above the most stable polymorph in this dataset ... 1.12 eV per formula unit



Number 1: magnetic moment 0.000 μB per cell. Number 2: magnetic moment 10.991 μB per cell. Number 3: magnetic moment 0.000 μB per cell. Number 4: magnetic moment 1.604 μB per cell. Number 5: magnetic moment 0.000 μB per cell. Number 6: magnetic moment 0.000 μB per cell. Number 7: magnetic moment 0.118 μB per cell. Number 8: magnetic moment 0.000 μB per cell. Number 9: magnetic moment 0.000 μB per cell. Number 10: magnetic moment 0.000 μB per cell. Number 11: magnetic moment 7.000 μB per cell. Number 12: magnetic moment 0.000 μB per cell.